No. 1
Compound: GdTmPuTh
Source: Alexandria via LeMat-Bulk
Functional: PBE
Structure: relaxed

Geometry as CIF:
```
data_GdTmPuTh
_chemical_formula_sum 'Gd4 Tm4 Pu4 Th4'
_symmetry_space_group_name_H-M 'F -4 3 m'
_symmetry_Int_Tables_number 216
_symmetry_space_group_name_Hall 'F -4 2 3'
_cell_length_a 7.857
_cell_length_b 7.857
_cell_length_c 7.857
_cell_angle_alpha 90.00
_cell_angle_beta 90.00
_cell_angle_gamma 90.00
loop_
_atom_site_label
_atom_site_fract_x
_atom_site_fract_y
_atom_site_fract_z
Gd1 0.000 0.000 0.000
Tm1 0.250 0.250 0.250
Pu1 0.250 0.250 0.750
Th1 0.000 0.000 0.500
```

Summary:
uncorrected energy = -9.891 eV/atom
E_form = 17.87 kJ per mole of atoms
N(E_F) = 12.79 states/eV/f.u.
crystal system = cubic

---

No. 2
Compound: NbTeS4
Source: Alexandria via LeMat-Bulk
Functional: PBE
Structure: relaxed

Geometry as CIF:
```
data_NbTeS4
_chemical_formula_sum 'Nb2 Te2 S8'
_symmetry_space_group_name_H-M 'C 1 2/m 1'
_symmetry_Int_Tables_number 12
_cell_length_a 14.446
_cell_length_b 3.587
_cell_length_c 6.662
_cell_angle_alpha 90.00
_cell_angle_beta 115.86
_cell_angle_gamma 90.00
loop_
_symmetry_equiv_pos_as_xyz
'x,y,z'
'-x,-y,-z'
'-x,y,-z'
'x,-y,z'
'x+1/2,y+1/2,z'
'-x+1/2,-y+1/2,-z'
'-x+1/2,y+1/2,-z'
'x+1/2,-y+1/2,z'
loop_
_atom_site_label
_atom_site_fract_x
_atom_site_fract_y
_atom_site_fract_z
Nb1 0.000 0.000 0.000
Te1 0.000 0.500 0.500
S1 0.108 0.500 0.265
S2 0.112 0.000 0.799
```

Summary:
uncorrected energy = -5.348 eV/atom
N(E_F) = 2.67 states/eV/f.u.
crystal system = monoclinic
formation energy without anion corrections = -0.394 eV/atom

---

No. 3
Compound: Ce2MgAl4Pt3
Source: Alexandria via LeMat-Bulk
Functional: PBE
Structure: relaxed

Geometry as CIF:
```
data_Ce2MgAl4Pt3
_chemical_formula_sum 'Ce2 Mg1 Al4 Pt3'
_symmetry_space_group_name_H-M 'P -4 m 2'
_symmetry_Int_Tables_number 115
_cell_length_a 4.221
_cell_length_b 4.221
_cell_length_c 11.036
_cell_angle_alpha 90.00
_cell_angle_beta 90.00
_cell_angle_gamma 90.00
loop_
_symmetry_equiv_pos_as_xyz
'x,y,z'
'y,-x,-z'
'-x,-y,z'
'-y,x,-z'
'-x,y,z'
'-y,-x,-z'
'x,-y,z'
'y,x,-z'
loop_
_atom_site_label
_atom_site_fract_x
_atom_site_fract_y
_atom_site_fract_z
Ce1 0.000 0.500 0.237
Mg1 0.000 0.000 0.500
Al1 0.000 0.000 0.000
Al2 0.000 0.500 0.645
Al3 0.500 0.500 0.000
Pt1 0.000 0.500 0.870
Pt2 0.500 0.500 0.500
```

Summary:
uncorrected energy = -5.543 eV/atom
E_form = -85.59 kJ per mole of atoms
N(E_F) = 13.52 states/eV/f.u.
crystal system = tetragonal

---

No. 4
Compound: Zr2HgAu
Source: Alexandria via LeMat-Bulk
Functional: PBE
Structure: relaxed

Geometry as CIF:
```
data_Zr2HgAu
_chemical_formula_sum 'Zr2 Hg1 Au1'
_symmetry_space_group_name_H-M 'P 4 m m'
_symmetry_Int_Tables_number 99
_cell_length_a 3.589
_cell_length_b 3.589
_cell_length_c 6.554
_cell_angle_alpha 90.00
_cell_angle_beta 90.00
_cell_angle_gamma 90.00
loop_
_symmetry_equiv_pos_as_xyz
'x,y,z'
'-y,x,z'
'-x,-y,z'
'y,-x,z'
'-x,y,z'
'y,x,z'
'x,-y,z'
'-y,-x,z'
loop_
_atom_site_label
_atom_site_fract_x
_atom_site_fract_y
_atom_site_fract_z
Zr1 0.000 0.000 0.000
Zr2 0.500 0.500 0.286
Hg1 0.500 0.500 0.759
Au1 0.000 0.000 0.509
```

Summary:
uncorrected energy = -5.488 eV/atom
E_form = -30.83 kJ per mole of atoms
N(E_F) = 1.25 states/eV/f.u.
crystal system = tetragonal

---

No. 5
Compound: Ac5CeS6
Source: Alexandria via LeMat-Bulk
Functional: PBE
Structure: relaxed

Geometry as CIF:
```
data_Ac5CeS6
_chemical_formula_sum 'Ac10 Ce2 S12'
_symmetry_space_group_name_H-M 'C 1 2/m 1'
_symmetry_Int_Tables_number 12
_cell_length_a 7.385
_cell_length_b 12.804
_cell_length_c 7.394
_cell_angle_alpha 90.00
_cell_angle_beta 109.59
_cell_angle_gamma 90.00
loop_
_symmetry_equiv_pos_as_xyz
'x,y,z'
'-x,-y,-z'
'-x,y,-z'
'x,-y,z'
'x+1/2,y+1/2,z'
'-x+1/2,-y+1/2,-z'
'-x+1/2,y+1/2,-z'
'x+1/2,-y+1/2,z'
loop_
_atom_site_label
_atom_site_fract_x
_atom_site_fract_y
_atom_site_fract_z
Ac1 0.000 0.000 0.000
Ac2 0.000 0.166 0.500
Ac3 0.000 0.331 0.000
Ce1 0.000 0.500 0.500
S1 0.242 0.500 0.253
S2 0.243 0.338 0.742
```

Summary:
uncorrected energy = -6.271 eV/atom
N(E_F) = 10.84 states/eV/f.u.
crystal system = monoclinic
formation energy without anion corrections = -2.001 eV/atom

---

No. 6
Compound: Th6HgRu2C3
Source: Alexandria via LeMat-Bulk
Functional: PBE
Structure: relaxed

Geometry as CIF:
```
data_Th6HgRu2C3
_chemical_formula_sum 'Th12 Hg2 Ru4 C6'
_symmetry_space_group_name_H-M 'C 1 2/m 1'
_symmetry_Int_Tables_number 12
_cell_length_a 18.685
_cell_length_b 3.844
_cell_length_c 8.082
_cell_angle_alpha 90.00
_cell_angle_beta 114.41
_cell_angle_gamma 90.00
loop_
_symmetry_equiv_pos_as_xyz
'x,y,z'
'-x,-y,-z'
'-x,y,-z'
'x,-y,z'
'x+1/2,y+1/2,z'
'-x+1/2,-y+1/2,-z'
'-x+1/2,y+1/2,-z'
'x+1/2,-y+1/2,z'
loop_
_atom_site_label
_atom_site_fract_x
_atom_site_fract_y
_atom_site_fract_z
Th1 0.033 0.000 0.229
Th2 0.159 0.500 0.042
Th3 0.188 0.500 0.568
Hg1 0.000 0.500 0.500
Ru1 0.128 0.000 0.729
C1 0.000 0.500 0.000
C2 0.168 0.000 0.265
```

Summary:
uncorrected energy = -7.780 eV/atom
E_form = -18.60 kJ per mole of atoms
N(E_F) = 11.80 states/eV/f.u.
crystal system = monoclinic

---

No. 7
Compound: ZnIrO2
Source: Alexandria via LeMat-Bulk
Functional: PBE
Structure: relaxed

Geometry as CIF:
```
data_ZnIrO2
_chemical_formula_sum 'Zn3 Ir3 O6'
_symmetry_space_group_name_H-M 'R -3 m'
_symmetry_Int_Tables_number 166
_symmetry_space_group_name_Hall '-R 3 2"'
_cell_length_a 3.1674
_cell_length_b 3.1674
_cell_length_c 18.1029
_cell_angle_alpha 90.00
_cell_angle_beta 90.00
_cell_angle_gamma 120.00
loop_
_atom_site_label
_atom_site_fract_x
_atom_site_fract_y
_atom_site_fract_z
Zn1 0.0000 0.0000 0.0000
Ir1 0.0000 0.0000 0.5000
O1 0.0000 0.0000 0.1138
```

Summary:
uncorrected energy = -5.439 eV/atom
N(E_F) = 3.01 states/eV/f.u.
crystal system = trigonal
formation energy without anion corrections = -0.426 eV/atom

---

No. 8
Compound: Tb3Pm6SmEr2
Source: Alexandria via LeMat-Bulk
Functional: PBE
Structure: relaxed

Geometry as CIF:
```
data_Tb3Pm6SmEr2
_chemical_formula_sum 'Tb6 Pm12 Sm2 Er4'
_symmetry_space_group_name_H-M 'C 1 2/m 1'
_symmetry_Int_Tables_number 12
_cell_length_a 6.249
_cell_length_b 10.820
_cell_length_c 11.884
_cell_angle_alpha 90.00
_cell_angle_beta 100.06
_cell_angle_gamma 90.00
loop_
_symmetry_equiv_pos_as_xyz
'x,y,z'
'-x,-y,-z'
'-x,y,-z'
'x,-y,z'
'x+1/2,y+1/2,z'
'-x+1/2,-y+1/2,-z'
'-x+1/2,y+1/2,-z'
'x+1/2,-y+1/2,z'
loop_
_atom_site_label
_atom_site_fract_x
_atom_site_fract_y
_atom_site_fract_z
Tb1 0.000 0.000 0.000
Tb2 0.000 0.333 0.000
Pm1 0.249 0.167 0.250
Pm2 0.250 0.000 0.750
Sm1 0.000 0.500 0.500
Er1 0.000 0.167 0.500
```

Summary:
uncorrected energy = -4.674 eV/atom
E_form = 1.24 kJ per mole of atoms
N(E_F) = 14.56 states/eV/f.u.
crystal system = monoclinic

---

No. 9
Compound: PmNdHoSc
Source: Alexandria via LeMat-Bulk
Functional: PBE
Structure: relaxed

Geometry as CIF:
```
data_PmNdHoSc
_chemical_formula_sum 'Pm2 Nd2 Ho2 Sc2'
_symmetry_space_group_name_H-M 'C 1 m 1'
_symmetry_Int_Tables_number 8
_cell_length_a 12.223
_cell_length_b 5.694
_cell_length_c 3.799
_cell_angle_alpha 90.00
_cell_angle_beta 108.04
_cell_angle_gamma 90.00
loop_
_symmetry_equiv_pos_as_xyz
'x,y,z'
'x,-y,z'
'x+1/2,y+1/2,z'
'x+1/2,-y+1/2,z'
loop_
_atom_site_label
_atom_site_fract_x
_atom_site_fract_y
_atom_site_fract_z
Pm1 0.000 0.000 0.000
Nd1 0.225 0.500 0.219
Ho1 0.265 0.000 0.760
Sc1 0.492 0.000 0.489
```

Summary:
uncorrected energy = -5.009 eV/atom
E_form = 9.47 kJ per mole of atoms
N(E_F) = 6.89 states/eV/f.u.
crystal system = monoclinic
energy relative to the lowest polymorph listed for this composition = 0.0 meV/atom

---

No. 10
Compound: CsRbLi2Sn
Source: Alexandria via LeMat-Bulk
Functional: PBE
Structure: relaxed

Geometry as CIF:
```
data_CsRbLi2Sn
_chemical_formula_sum 'Cs1 Rb1 Li2 Sn1'
_symmetry_space_group_name_H-M 'P 4/m m m'
_symmetry_Int_Tables_number 123
_symmetry_space_group_name_Hall '-P 4 2'
_cell_length_a 5.684
_cell_length_b 5.684
_cell_length_c 6.897
_cell_angle_alpha 90.00
_cell_angle_beta 90.00
_cell_angle_gamma 90.00
loop_
_atom_site_label
_atom_site_fract_x
_atom_site_fract_y
_atom_site_fract_z
Cs1 0.000 0.000 0.000
Rb1 0.500 0.500 0.000
Li1 0.000 0.500 0.500
Sn1 0.500 0.500 0.500
```

Summary:
uncorrected energy = -1.970 eV/atom
E_form = -3.78 kJ per mole of atoms
N(E_F) = 0.75 states/eV/f.u.
crystal system = tetragonal

---

No. 11
Compound: Sr3Co5Se12
Source: Alexandria via LeMat-Bulk
Functional: PBE
Structure: relaxed

Geometry as CIF:
```
data_Sr3Co5Se12
_chemical_formula_sum 'Sr24 Co40 Se96'
_symmetry_space_group_name_H-M 'I a -3 d'
_symmetry_Int_Tables_number 230
_symmetry_space_group_name_Hall '-I 4bd 2c 3'
_cell_length_a 15.520
_cell_length_b 15.520
_cell_length_c 15.520
_cell_angle_alpha 90.00
_cell_angle_beta 90.00
_cell_angle_gamma 90.00
loop_
_atom_site_label
_atom_site_fract_x
_atom_site_fract_y
_atom_site_fract_z
Sr1 0.000 0.250 0.125
Co1 0.000 0.000 0.000
Co2 0.000 0.250 0.375
Se1 0.040 0.053 0.642
```

Summary:
uncorrected energy = -4.690 eV/atom
N(E_F) = 19.12 states/eV/f.u.
crystal system = cubic
formation energy without anion corrections = -0.571 eV/atom

---

No. 12
Compound: PrZr2As4
Source: Alexandria via LeMat-Bulk
Functional: PBE
Structure: relaxed

Geometry as CIF:
```
data_PrZr2As4
_chemical_formula_sum 'Pr4 Zr8 As16'
_symmetry_space_group_name_H-M 'C m c m'
_symmetry_Int_Tables_number 63
_symmetry_space_group_name_Hall '-C 2c 2'
_cell_length_a 3.964
_cell_length_b 13.021
_cell_length_c 12.795
_cell_angle_alpha 90.00
_cell_angle_beta 90.00
_cell_angle_gamma 90.00
loop_
_atom_site_label
_atom_site_fract_x
_atom_site_fract_y
_atom_site_fract_z
Pr1 0.000 0.105 0.250
Zr1 0.000 0.365 0.055
As1 0.000 0.000 0.000
As2 0.000 0.260 0.629
As3 0.000 0.434 0.250
```

Summary:
uncorrected energy = -6.741 eV/atom
E_form = -92.55 kJ per mole of atoms
N(E_F) = 2.44 states/eV/f.u.
crystal system = orthorhombic